Entry from the Alexandria database: crystalline Ce3YIr3 at its relaxed geometry (GGA-PBE).

POSCAR file:
```
Ce3YIr3
1.0
4.528 -5.221 0.000
4.528 5.221 0.000
-0.104 0.000 7.045
Ce Y Ir
6 2 6
direct
0.185 0.815 0.000 Ce
0.247 0.753 0.500 Ce
0.354 0.354 0.890 Ce
0.646 0.646 0.110 Ce
0.753 0.247 0.500 Ce
0.815 0.185 0.000 Ce
0.251 0.251 0.384 Y
0.749 0.749 0.616 Y
0.028 0.483 0.732 Ir
0.062 0.062 0.712 Ir
0.483 0.028 0.732 Ir
0.517 0.972 0.268 Ir
0.938 0.938 0.288 Ir
0.972 0.517 0.268 Ir
```

Results
ΔH_f (0 K)	-59.5	kJ/mol of atoms
VASP energy	-110.33	eV for the cell shown
symmetry	C2/m, No. 12



Entry from the Alexandria database: crystalline RbHf2NbO8 at its relaxed geometry (GGA-PBE).

POSCAR file:
```
RbHf2NbO8
1.0
3.480 -3.408 0.000
3.480 3.408 0.000
-0.417 0.000 7.343
Rb Hf Nb O
1 2 1 8
direct
0.000 0.000 0.000 Rb
0.491 0.491 0.712 Hf
0.509 0.509 0.288 Hf
0.000 0.000 0.500 Nb
0.183 0.773 0.308 O
0.227 0.817 0.692 O
0.303 0.303 0.491 O
0.391 0.391 0.989 O
0.609 0.609 0.011 O
0.697 0.697 0.509 O
0.773 0.183 0.308 O
0.817 0.227 0.692 O
```

Results
VASP energy	-100.92	eV for the cell shown
symmetry	C2/m, No. 12
formation energy (no corrections)	-2.526	eV/atom



Entry from the Alexandria database: crystalline La4HRuI2 at its relaxed geometry (GGA-PBE).

POSCAR file:
```
La4HRuI2
1.0
6.958 0.000 0.000
0.000 4.141 0.000
-2.303 0.000 8.238
La H Ru I
4 1 1 2
direct
0.234 0.000 0.189 La
0.260 0.500 0.816 La
0.740 0.500 0.184 La
0.766 0.000 0.811 La
0.000 0.500 0.000 H
0.500 0.000 0.000 Ru
0.000 0.000 0.500 I
0.500 0.500 0.500 I
```

Results
VASP energy	-41.35	eV for the cell shown
symmetry	P2/m, No. 10



Entry from the Alexandria database: crystalline YThAs2 at its relaxed geometry (GGA-PBE).

POSCAR file:
```
YThAs2
1.0
-2.972 2.972 5.920
2.972 -2.972 5.920
2.972 2.972 -5.920
Y Th As
2 2 4
direct
0.375 0.625 0.750 Y
0.625 0.375 0.250 Y
0.125 0.875 0.250 Th
0.875 0.125 0.750 Th
0.127 0.377 0.750 As
0.377 0.127 0.250 As
0.623 0.873 0.750 As
0.873 0.623 0.250 As
```

Results
ΔH_f (0 K)	-142.8	kJ/mol of atoms
VASP energy	-58.21	eV for the cell shown
offset from the most stable computed form	0.0	kJ/mol of atoms
symmetry	I4_1/amd, No. 141



Entry from the Alexandria database: crystalline TaTlPb2O5 at its relaxed geometry (GGA-PBE).

POSCAR file:
```
TaTlPb2O5
1.0
-2.016 3.205 5.899
2.016 -3.205 5.899
2.016 3.205 -5.899
Ta Tl Pb O
1 1 2 5
direct
0.000 0.000 0.000 Ta
0.500 0.500 0.000 Tl
0.229 0.729 0.500 Pb
0.771 0.271 0.500 Pb
0.000 0.500 0.500 O
0.089 0.875 0.214 O
0.339 0.125 0.214 O
0.661 0.875 0.786 O
0.911 0.125 0.786 O
```

Results
VASP energy	-61.35	eV for the cell shown
symmetry	Immm, No. 71
formation energy (no corrections)	-1.659	eV/atom



Entry from the Alexandria database: crystalline RbSiP2S at its relaxed geometry (GGA-PBE).

POSCAR file:
```
RbSiP2S
1.0
4.673 0.000 0.000
0.000 4.673 0.000
0.000 0.000 5.000
Rb Si P S
1 1 2 1
direct
0.000 0.000 0.000 Rb
0.500 0.500 0.500 Si
0.000 0.500 0.500 P
0.500 0.000 0.500 P
0.500 0.500 0.000 S
```

Results
VASP energy	-19.99	eV for the cell shown
offset from the most stable computed form	0.0	kJ/mol of atoms
symmetry	P4/mmm, No. 123
formation energy (no corrections)	0.269	eV/atom



Entry from the Alexandria database: crystalline Ca2SiSbPd6 at its relaxed geometry (GGA-PBE).

POSCAR file:
```
Ca2SiSbPd6
1.0
5.584 0.000 0.000
2.773 5.746 0.000
2.784 0.505 6.039
Ca Si Sb Pd
2 1 1 6
direct
0.002 0.245 0.253 Ca
0.998 0.755 0.747 Ca
0.500 0.500 0.000 Si
0.500 0.000 0.500 Sb
0.020 0.686 0.284 Pd
0.331 0.911 0.926 Pd
0.489 0.316 0.716 Pd
0.511 0.684 0.284 Pd
0.669 0.089 0.074 Pd
0.980 0.314 0.716 Pd
```

Results
VASP energy	-50.98	eV for the cell shown
symmetry	P-1, No. 2
formation energy (no corrections)	-0.628	eV/atom



Entry from the Alexandria database: crystalline Tm4SbRh7 at its relaxed geometry (GGA-PBE).

POSCAR file:
```
Tm4SbRh7
1.0
5.484 -2.492 0.000
5.484 2.492 0.000
-4.815 0.000 8.530
Tm Sb Rh
4 1 7
direct
0.088 0.088 0.274 Tm
0.266 0.266 0.840 Tm
0.734 0.734 0.160 Tm
0.912 0.912 0.726 Tm
0.500 0.500 0.500 Sb
0.000 0.000 0.500 Rh
0.133 0.133 0.017 Rh
0.295 0.295 0.577 Rh
0.419 0.419 0.196 Rh
0.581 0.581 0.804 Rh
0.705 0.705 0.423 Rh
0.867 0.867 0.983 Rh
```

Results
VASP energy	-79.47	eV for the cell shown
symmetry	C2/m, No. 12
formation energy (no corrections)	-0.500	eV/atom



Entry from the Alexandria database: crystalline Li3SmSe4O12 at its relaxed geometry (GGA-PBE).

POSCAR file:
```
Li3SmSe4O12
1.0
5.374 3.103 2.611
-5.374 3.103 2.611
0.000 -6.206 2.611
Li Sm Se O
3 1 4 12
direct
0.000 0.576 0.424 Li
0.424 0.000 0.576 Li
0.576 0.424 0.000 Li
0.000 0.000 0.000 Sm
0.097 0.500 0.903 Se
0.500 0.500 0.500 Se
0.500 0.903 0.097 Se
0.903 0.097 0.500 Se
0.006 0.243 0.335 O
0.059 0.941 0.500 O
0.243 0.335 0.006 O
0.335 0.006 0.243 O
0.347 0.653 0.500 O
0.500 0.059 0.941 O
0.500 0.347 0.653 O
0.653 0.500 0.347 O
0.665 0.757 0.994 O
0.757 0.994 0.665 O
0.941 0.500 0.059 O
0.994 0.665 0.757 O
```

Results
VASP energy	-105.38	eV for the cell shown
symmetry	R32, No. 155
formation energy (no corrections)	-1.074	eV/atom



Entry from the Alexandria database: crystalline RbTmCuS2 at its relaxed geometry (GGA-PBE).

POSCAR file:
```
RbTmCuS2
1.0
7.687 0.000 0.000
0.000 4.620 0.000
-1.260 0.000 7.660
Rb Tm Cu S
2 2 2 4
direct
0.000 0.161 0.250 Rb
0.000 0.839 0.750 Rb
0.500 0.494 0.750 Tm
0.500 0.506 0.250 Tm
0.500 0.000 0.000 Cu
0.500 0.000 0.500 Cu
0.281 0.330 0.966 S
0.281 0.670 0.466 S
0.719 0.330 0.534 S
0.719 0.670 0.034 S
```

Results
VASP energy	-46.48	eV for the cell shown
symmetry	P2/c, No. 13
formation energy (no corrections)	-1.090	eV/atom



Entry from the Alexandria database: crystalline ReP2HCl at its relaxed geometry (GGA-PBE).

POSCAR file:
```
ReP2HCl
1.0
4.547 0.000 0.000
0.000 4.547 0.000
0.000 0.000 5.220
Re P H Cl
1 2 1 1
direct
0.000 0.000 0.000 Re
0.000 0.500 0.000 P
0.500 0.000 0.000 P
0.500 0.500 0.500 H
0.000 0.000 0.500 Cl
```

Results
VASP energy	-24.65	eV for the cell shown
offset from the most stable computed form	0.0	kJ/mol of atoms
symmetry	P4/mmm, No. 123



Entry from the Alexandria database: crystalline Tm3Mn5Se12 at its relaxed geometry (GGA-PBE).

POSCAR file:
```
Tm3Mn5Se12
1.0
-7.824 7.824 7.824
7.824 -7.824 7.824
7.824 7.824 -7.824
Tm Mn Se
12 20 48
direct
0.125 0.250 0.375 Tm
0.125 0.375 0.750 Tm
0.250 0.375 0.125 Tm
0.250 0.875 0.625 Tm
0.375 0.125 0.250 Tm
0.375 0.750 0.125 Tm
0.625 0.250 0.875 Tm
0.625 0.875 0.750 Tm
0.750 0.125 0.375 Tm
0.750 0.625 0.875 Tm
0.875 0.625 0.250 Tm
0.875 0.750 0.625 Tm
0.000 0.000 0.000 Mn
0.000 0.000 0.500 Mn
0.000 0.500 0.000 Mn
0.000 0.500 0.500 Mn
0.125 0.750 0.875 Mn
0.125 0.875 0.250 Mn
0.250 0.125 0.875 Mn
0.250 0.625 0.375 Mn
0.375 0.250 0.625 Mn
0.375 0.625 0.750 Mn
0.500 0.000 0.000 Mn
0.500 0.000 0.500 Mn
0.500 0.500 0.000 Mn
0.500 0.500 0.500 Mn
0.625 0.375 0.250 Mn
0.625 0.750 0.375 Mn
0.750 0.375 0.625 Mn
0.750 0.875 0.125 Mn
0.875 0.125 0.750 Mn
0.875 0.250 0.125 Mn
0.036 0.210 0.125 Se
0.036 0.326 0.911 Se
0.085 0.710 0.674 Se
0.085 0.875 0.411 Se
0.089 0.625 0.415 Se
0.089 0.964 0.674 Se
0.125 0.036 0.210 Se
0.125 0.589 0.915 Se
0.174 0.210 0.585 Se
0.174 0.464 0.589 Se
0.210 0.125 0.036 Se
0.210 0.585 0.174 Se
0.290 0.326 0.915 Se
0.290 0.464 0.375 Se
0.326 0.911 0.036 Se
0.326 0.915 0.290 Se
0.375 0.290 0.464 Se
0.375 0.585 0.911 Se
0.411 0.085 0.875 Se
0.411 0.826 0.536 Se
0.415 0.089 0.625 Se
0.415 0.826 0.790 Se
0.464 0.375 0.290 Se
0.464 0.589 0.174 Se
0.536 0.411 0.826 Se
0.536 0.625 0.710 Se
0.585 0.174 0.210 Se
0.585 0.911 0.375 Se
0.589 0.174 0.464 Se
0.589 0.915 0.125 Se
0.625 0.415 0.089 Se
0.625 0.710 0.536 Se
0.674 0.085 0.710 Se
0.674 0.089 0.964 Se
0.710 0.536 0.625 Se
0.710 0.674 0.085 Se
0.790 0.415 0.826 Se
0.790 0.875 0.964 Se
0.826 0.536 0.411 Se
0.826 0.790 0.415 Se
0.875 0.411 0.085 Se
0.875 0.964 0.790 Se
0.911 0.036 0.326 Se
0.911 0.375 0.585 Se
0.915 0.125 0.589 Se
0.915 0.290 0.326 Se
0.964 0.674 0.089 Se
0.964 0.790 0.875 Se
```

Results
VASP energy	-474.18	eV for the cell shown
symmetry	Ia-3d, No. 230
formation energy (no corrections)	-0.873	eV/atom



Number 11 is which compound?
ReP2HCl